Entry 1:
Entry from Alexandria via LeMat-Bulk: crystalline Bi3SeBr at its relaxed geometry (PBE).

ΔE_f (raw), meV per atom: 430
Energy relative to the lowest polymorph listed for this composition, meV/atom: 0

Cell: 5.6209 5.6209 5.6209 Å, 90.00 90.00 90.00°
Space group Pm-3m (No. 221)
Symmetry-distinct sites (fractional):
Bi (0.0000, 0.0000, 0.5000)
Se (0.0000, 0.0000, 0.0000)
Br (0.5000, 0.5000, 0.5000)



Entry 2:
Entry from Alexandria via LeMat-Bulk: crystalline InRe2N at its relaxed geometry (PBE).

ΔE_f (raw), meV per atom: 914
Energy relative to the lowest polymorph listed for this composition, meV/atom: 0

Cell: 4.9074 4.9074 12.2682 Å, 90.00 90.00 90.00°
Space group I-42d (No. 122)
Symmetry-distinct sites (fractional):
In (0.0000, 0.0000, 0.0000)
Re (0.0737, 0.2500, 0.6250)
N (0.0000, 0.0000, 0.5000)



Entry 3:
Entry from Alexandria via LeMat-Bulk: crystalline SrPm4Sn4 at its relaxed geometry (PBE).

Cell: 10.3346 10.3346 6.2983 Å, 90.00 90.00 90.00°
Space group P4_2/n (No. 86, origin choice 2)
Symmetry-distinct sites (fractional):
Sr (0.2500, 0.2500, 0.2500)
Pm (0.1109, 0.6353, 0.1390)
Sn (0.0555, 0.5916, 0.6537)



For reference, total DFT energy (no corrections) by record: -2.931; -8.076; -4.600 eV per atom.